A relaxed structure of Ac3NiPb. Source: Alexandria, functional PBE-GGA.

Properties
E above lowest polymorph: 0 meV/atom
space-group type: Pnma
crystal system: orthorhombic

a = 9.019 Å, b = 4.880 Å, c = 15.834 Å
α = 90.00°, β = 90.00°, γ = 90.00°
Element x y z (fractional)
Ac  0.031  0.250  0.106
Ac  0.157  0.250  0.507
Ac  0.196  0.750  0.289
Ac  0.304  0.250  0.789
Ac  0.343  0.750  0.007
Ac  0.469  0.750  0.606
Ac  0.531  0.250  0.394
Ac  0.657  0.250  0.993
Ac  0.696  0.750  0.211
Ac  0.804  0.250  0.711
Ac  0.843  0.750  0.493
Ac  0.969  0.750  0.894
Ni  0.161  0.250  0.943
Ni  0.339  0.750  0.443
Ni  0.661  0.250  0.557
Ni  0.839  0.750  0.057
Pb  0.086  0.750  0.676
Pb  0.414  0.250  0.176
Pb  0.586  0.750  0.824
Pb  0.914  0.250  0.324